Material: SbAsOs
Method: DFT, PBE
State: relaxed

Geometry as CIF:
```
data_SbAsOs
_chemical_formula_sum 'Sb2 As2 Os2'
_symmetry_space_group_name_H-M 'P 1 21 1'
_symmetry_Int_Tables_number 4
_cell_length_a 3.099
_cell_length_b 6.117
_cell_length_c 6.262
_cell_angle_alpha 90.00
_cell_angle_beta 97.20
_cell_angle_gamma 90.00
loop_
_symmetry_equiv_pos_as_xyz
'x,y,z'
'-x,y+1/2,-z'
loop_
_atom_site_label
_atom_site_type_symbol
_atom_site_fract_x
_atom_site_fract_y
_atom_site_fract_z
Sb1 Sb 0.212 0.000 0.388
As1 As 0.140 0.196 0.923
Os1 Os 0.287 0.819 0.780
```

Raw formation energy ... 0.12 eV/atom
E above lowest polymorph ... 224 meV/atom